Record 1
Density functional theory data (PBE) for a geometry-optimized Li2Ac3HfO8 structure.

Cell and atoms, written as POSCAR:
```
Li2Ac3HfO8
1.0
5.7563 0.0000 0.0000
-2.8782 4.9851 0.0000
0.0000 0.0000 7.0997
Li Ac Hf O
2 3 1 8
Direct
0.3333 0.6667 0.2010
0.6667 0.3333 0.7990
0.0000 0.0000 0.0000
0.3333 0.6667 0.6386
0.6667 0.3333 0.3614
0.0000 0.0000 0.5000
0.1639 0.3278 0.3234
0.1639 0.8361 0.3234
0.3278 0.1639 0.6766
0.3333 0.6667 0.9458
0.6667 0.3333 0.0542
0.6722 0.8361 0.3234
0.8361 0.1639 0.6766
0.8361 0.6722 0.6766
```

- Theoretical density: 8.2 g cm⁻³
- Total energy: -7.484 eV per atom
- Crystal system: trigonal
- DOS(E_F): 0.534 states/eV per atom


Record 2
Density functional theory data (PBE) for a geometry-optimized LiAcHfPt2 structure.

Cell and atoms, written as POSCAR:
```
LiAcHfPt2
1.0
-2.0979 2.0979 6.2537
2.0979 -2.0979 6.2537
2.0979 2.0979 -6.2537
Li Ac Hf Pt
1 1 1 2
Direct
0.0000 0.0000 0.0000
0.7500 0.2500 0.5000
0.5000 0.5000 0.0000
0.1337 0.6337 0.5000
0.3663 0.8663 0.5000
```

- Theoretical density: 12.1 g cm⁻³
- ΔH_f (0 K): -0.87 eV per atom
- Crystal system: tetragonal
- DOS(E_F): 0.575 states/eV per atom


Record 3
Density functional theory data (PBE) for a geometry-optimized LiAcHfS4 structure.

Cell and atoms, written as POSCAR:
```
LiAcHfS4
1.0
-3.7827 4.3914 5.7585
3.7827 -4.3914 5.7585
3.7827 4.3914 -5.7585
Li Ac Hf S
2 2 2 8
Direct
0.3524 0.1024 0.2500
0.6476 0.8976 0.7500
0.0000 0.5000 0.5000
0.5000 0.5000 0.0000
0.0000 0.0000 0.5000
0.0000 0.5000 0.0000
0.1969 0.2448 0.9521
0.2073 0.7552 0.4521
0.2222 0.2182 0.4960
0.2222 0.7261 0.0040
0.7778 0.2739 0.9960
0.7778 0.7818 0.5040
0.7927 0.2448 0.5479
0.8031 0.7552 0.0479
```

- Theoretical density: 4.7 g cm⁻³
- Total energy: -6.329 eV per atom
- Crystal system: orthorhombic
- DOS(E_F): 0.000 states/eV per atom


Record 4
Density functional theory data (PBE) for a geometry-optimized Li2Ac2HfS6 structure.

Cell and atoms, written as POSCAR:
```
Li2Ac2HfS6
1.0
3.5821 2.0681 6.1409
-3.5821 2.0681 6.1409
0.0000 -4.1363 6.1409
Li Ac Hf S
2 2 1 6
Direct
0.0731 0.0731 0.0731
0.9269 0.9269 0.9269
0.2913 0.2913 0.2913
0.7087 0.7087 0.7087
0.5000 0.5000 0.5000
0.2565 0.2565 0.7229
0.2565 0.7229 0.2565
0.2771 0.7435 0.7435
0.7229 0.2565 0.2565
0.7435 0.2771 0.7435
0.7435 0.7435 0.2771
```

- Theoretical density: 5.1 g cm⁻³
- Total energy: -5.783 eV per atom
- Crystal system: trigonal
- DOS(E_F): 0.000 states/eV per atom


Record 5
Density functional theory data (PBE) for a geometry-optimized Li3Ac2HfSe6 structure.

Cell and atoms, written as POSCAR:
```
Li3Ac2HfSe6
1.0
3.6482 -6.4795 0.0000
3.6482 6.4795 0.0000
-2.2275 0.0000 6.5239
Li Ac Hf Se
3 2 1 6
Direct
0.0000 0.0000 0.0000
0.3695 0.6305 0.0000
0.6305 0.3695 0.0000
0.1714 0.8286 0.5000
0.8286 0.1714 0.5000
0.5000 0.5000 0.5000
0.1268 0.4174 0.2398
0.2708 0.2708 0.7454
0.4174 0.1268 0.2398
0.5826 0.8732 0.7602
0.7292 0.7292 0.2546
0.8732 0.5826 0.7602
```

- Theoretical density: 6.1 g cm⁻³
- Total energy: -5.239 eV per atom
- Crystal system: monoclinic
- DOS(E_F): 0.361 states/eV per atom


Record 6
Density functional theory data (PBE) for a geometry-optimized AcLu2Hf structure.

Cell and atoms, written as POSCAR:
```
AcLu2Hf
1.0
0.0000 3.9203 3.9203
3.9203 0.0000 3.9203
3.9203 3.9203 0.0000
Ac Lu Hf
1 2 1
Direct
0.0000 0.0000 0.0000
0.2500 0.2500 0.2500
0.7500 0.7500 0.7500
0.5000 0.5000 0.5000
```

- Theoretical density: 10.4 g cm⁻³
- ΔH_f (0 K): 0.29 eV per atom
- Crystal system: cubic
- DOS(E_F): 1.565 states/eV per atom
- ΔE to the lowest computed polymorph: 0.074 eV per atom


Record 7
Density functional theory data (PBE) for a geometry-optimized AcLu2Hf structure.

Cell and atoms, written as POSCAR:
```
AcLu2Hf
1.0
3.9571 0.0000 0.0000
0.0000 3.9571 0.0000
0.0000 0.0000 7.9338
Ac Lu Hf
1 2 1
Direct
0.0000 0.0000 0.0000
0.5000 0.5000 0.2981
0.5000 0.5000 0.7019
0.0000 0.0000 0.5000
```

- Theoretical density: 10.1 g cm⁻³
- ΔH_f (0 K): 0.22 eV per atom
- Crystal system: tetragonal
- DOS(E_F): 1.940 states/eV per atom
- ΔE to the lowest computed polymorph: 0.000 eV per atom


Record 8
Density functional theory data (PBE) for a geometry-optimized Ac2HfMg structure.

Cell and atoms, written as POSCAR:
```
Ac2HfMg
1.0
1.7439 1.0069 12.6558
-1.7439 1.0069 12.6558
0.0000 -2.0137 12.6558
Ac Hf Mg
2 1 1
Direct
0.0850 0.0850 0.0850
0.9150 0.9150 0.9150
0.0000 0.0000 0.0000
0.5000 0.5000 0.5000
```

- Theoretical density: 8.2 g cm⁻³
- ΔH_f (0 K): 0.57 eV per atom
- Crystal system: trigonal
- DOS(E_F): 1.156 states/eV per atom


Record 9
Density functional theory data (PBE) for a geometry-optimized Ac3HfMg2O9 structure.

Cell and atoms, written as POSCAR:
```
Ac3HfMg2O9
1.0
5.7383 0.0000 0.0000
-2.8691 4.9695 0.0000
0.0000 0.0000 7.1167
Ac Hf Mg O
3 1 2 9
Direct
0.0000 0.0000 0.0000
0.3333 0.6667 0.6967
0.6667 0.3333 0.3033
0.0000 0.0000 0.5000
0.3333 0.6667 0.1712
0.6667 0.3333 0.8288
0.0000 0.5000 0.0000
0.1654 0.3307 0.3281
0.1654 0.8346 0.3281
0.3307 0.1654 0.6719
0.5000 0.0000 0.0000
0.5000 0.5000 0.0000
0.6693 0.8346 0.3281
0.8346 0.1654 0.6719
0.8346 0.6693 0.6719
```

- Theoretical density: 8.6 g cm⁻³
- Total energy: -7.720 eV per atom
- Crystal system: trigonal
- DOS(E_F): 0.795 states/eV per atom


Record 10
Density functional theory data (PBE) for a geometry-optimized Ac2HfMgPt6 structure.

Cell and atoms, written as POSCAR:
```
Ac2HfMgPt6
1.0
2.9828 1.7221 8.1400
-2.9828 1.7221 8.1400
0.0000 -3.4442 8.1400
Ac Hf Mg Pt
2 1 1 6
Direct
0.2182 0.2182 0.2182
0.7818 0.7818 0.7818
0.5000 0.5000 0.5000
0.0000 0.0000 0.0000
0.2326 0.7516 0.7516
0.2484 0.2484 0.7674
0.2484 0.7674 0.2484
0.7516 0.2326 0.7516
0.7516 0.7516 0.2326
0.7674 0.2484 0.2484
```

- Theoretical density: 12.1 g cm⁻³
- ΔH_f (0 K): -0.76 eV per atom
- Crystal system: trigonal
- DOS(E_F): 0.320 states/eV per atom


Record 11
Density functional theory data (PBE) for a geometry-optimized AcHfMgPt2 structure.

Cell and atoms, written as POSCAR:
```
AcHfMgPt2
1.0
-2.1759 2.1759 6.0983
2.1759 -2.1759 6.0983
2.1759 2.1759 -6.0983
Ac Hf Mg Pt
1 1 1 2
Direct
0.0000 0.0000 0.0000
0.7500 0.2500 0.5000
0.2500 0.7500 0.5000
0.3834 0.3834 0.0000
0.6166 0.6166 0.0000
```

- Theoretical density: 11.8 g cm⁻³
- ΔH_f (0 K): -0.91 eV per atom
- Crystal system: tetragonal
- DOS(E_F): 1.051 states/eV per atom


Record 12
Density functional theory data (PBE) for a geometry-optimized Ac2HfMgSe6 structure.

Cell and atoms, written as POSCAR:
```
Ac2HfMgSe6
1.0
6.9824 0.0000 0.0000
0.0000 7.6776 0.0000
-6.9115 0.0000 10.1677
Ac Hf Mg Se
4 2 2 12
Direct
0.2135 0.0984 0.2488
0.2135 0.4016 0.7488
0.7865 0.5984 0.2512
0.7865 0.9016 0.7512
0.5000 0.0000 0.0000
0.5000 0.5000 0.5000
0.0000 0.0000 0.5000
0.0000 0.5000 0.0000
0.1321 0.1842 0.9479
0.1321 0.3158 0.4479
0.2706 0.6932 0.9475
0.2706 0.8068 0.4475
0.3591 0.0201 0.7501
0.3591 0.4799 0.2501
0.6409 0.5201 0.7499
0.6409 0.9799 0.2499
0.7294 0.1932 0.5525
0.7294 0.3068 0.0525
0.8679 0.6842 0.5521
0.8679 0.8158 0.0521
```

- Theoretical density: 6.9 g cm⁻³
- Total energy: -5.755 eV per atom
- Crystal system: monoclinic
- DOS(E_F): 0.000 states/eV per atom


Record 13
Density functional theory data (PBE) for a geometry-optimized Ac2HfMn2N6 structure.

Cell and atoms, written as POSCAR:
```
Ac2HfMn2N6
1.0
2.9231 1.6876 5.4204
-2.9231 1.6876 5.4204
0.0000 -3.3753 5.4204
Ac Hf Mn N
2 1 2 6
Direct
0.2301 0.2301 0.2301
0.7699 0.7699 0.7699
0.0000 0.0000 0.0000
0.4387 0.4387 0.4387
0.5613 0.5613 0.5613
0.2478 0.2478 0.7482
0.2478 0.7482 0.2478
0.2518 0.7522 0.7522
0.7482 0.2478 0.2478
0.7522 0.2518 0.7522
0.7522 0.7522 0.2518
```

- Theoretical density: 8.6 g cm⁻³
- Total energy: -8.778 eV per atom
- Crystal system: trigonal
- DOS(E_F): 0.270 states/eV per atom


Record 14
Density functional theory data (PBE) for a geometry-optimized Ac3HfMn2N6 structure.

Cell and atoms, written as POSCAR:
```
Ac3HfMn2N6
1.0
5.8524 0.0000 0.0000
-2.9262 5.0683 0.0000
0.0000 0.0000 6.8469
Ac Hf Mn N
3 1 2 6
Direct
0.0000 0.0000 0.0000
0.3333 0.6667 0.6661
0.6667 0.3333 0.3339
0.0000 0.0000 0.5000
0.3333 0.6667 0.2151
0.6667 0.3333 0.7849
0.1696 0.3392 0.3056
0.1696 0.8304 0.3056
0.3392 0.1696 0.6944
0.6608 0.8304 0.3056
0.8304 0.1696 0.6944
0.8304 0.6608 0.6944
```

- Theoretical density: 8.6 g cm⁻³
- Total energy: -8.542 eV per atom
- Crystal system: trigonal
- DOS(E_F): 0.322 states/eV per atom